The following is a DFT calculation (PBE-GGA) of an optimized crystal structure of SrPmVN3.

Values from the calculation:
Space group ... No. 12
Uncorrected formation energy ... -0.9860 eV/atom

Cell: 6.965 6.965 7.344 Å, 105.15 105.15 32.17°
Element x y z (fractional)
1 Sr 0.146 0.146 0.073
2 Sr 0.854 0.854 0.927
3 Pm 0.155 0.155 0.580
4 Pm 0.845 0.845 0.420
5 V 0.500 0.500 0.293
6 V 0.500 0.500 0.707
7 N 0.003 0.003 0.305
8 N 0.347 0.347 0.666
9 N 0.354 0.354 0.186
10 N 0.646 0.646 0.814
11 N 0.653 0.653 0.334
12 N 0.997 0.997 0.695

The following is a DFT calculation (PBE-GGA) of an optimized crystal structure of PrMg3Pd2.

Values from the calculation:
Space group ... No. 12
ΔE_f ... -528 meV per atom

Cell: 8.711 8.711 8.883 Å, 120.23 120.23 27.53°
Element x y z (fractional)
1 Pr 0.134 0.134 0.180
2 Pr 0.866 0.866 0.820
3 Mg 0.034 0.034 0.694
4 Mg 0.321 0.321 0.096
5 Mg 0.372 0.372 0.498
6 Mg 0.628 0.628 0.502
7 Mg 0.679 0.679 0.904
8 Mg 0.966 0.966 0.306
9 Pd 0.206 0.206 0.730
10 Pd 0.494 0.494 0.149
11 Pd 0.506 0.506 0.851
12 Pd 0.794 0.794 0.270

The following is a DFT calculation (PBE-GGA) of an optimized crystal structure of Li2FeAsW.

Values from the calculation:
Space group ... No. 123
ΔE_f ... 1401 meV per atom

Cell: 4.818 4.818 4.738 Å, 90.00 90.00 90.00°
Element x y z (fractional)
1 Li 0.000 0.500 0.000
2 Li 0.500 0.000 0.000
3 Fe 0.000 0.000 0.500
4 As 0.500 0.500 0.500
5 W 0.500 0.500 0.000

The following is a DFT calculation (PBE-GGA) of an optimized crystal structure of YBePb.

Values from the calculation:
Excess energy over the best structure of this formula in the dataset ... 327.6 meV/atom
Space group ... No. 107
ΔE_f ... 110 meV per atom

Cell: 6.253 6.253 6.253 Å, 148.16 148.16 45.65°
Element x y z (fractional)
1 Y 0.000 0.000 0.000
2 Be 0.348 0.348 0.000
3 Pb 0.715 0.715 0.000

The following is a DFT calculation (PBE-GGA) of an optimized crystal structure of La8Ge5S.

Values from the calculation:
Space group ... No. 82
Uncorrected formation energy ... -0.9739 eV/atom

Cell: 8.043 8.043 8.043 Å, 109.63 109.63 109.16°
Element x y z (fractional)
1 La 0.122 0.371 0.614
2 La 0.125 0.382 0.118
3 La 0.264 0.006 0.882
4 La 0.492 0.878 0.248
5 La 0.618 0.736 0.742
6 La 0.629 0.244 0.752
7 La 0.756 0.508 0.386
8 La 0.994 0.875 0.258
9 Ge 0.001 0.628 0.877
10 Ge 0.372 0.249 0.372
11 Ge 0.500 0.500 0.000
12 Ge 0.751 0.123 0.123
13 Ge 0.877 0.999 0.628
14 S 0.250 0.750 0.500

The following is a DFT calculation (PBE-GGA) of an optimized crystal structure of AlAs2Os.

Values from the calculation:
Space group ... No. 123
ΔE_f ... 202 meV per atom

Cell: 3.030 3.030 7.209 Å, 90.00 90.00 90.00°
Element x y z (fractional)
1 Al 0.000 0.000 0.000
2 As 0.500 0.500 0.280
3 As 0.500 0.500 0.720
4 Os 0.000 0.000 0.500

The following is a DFT calculation (PBE-GGA) of an optimized crystal structure of Zr5Sn3C.

Values from the calculation:
Space group ... No. 193
ΔE_f ... -680 meV per atom

Cell: 8.516 8.516 5.873 Å, 90.00 90.00 120.00°
Element x y z (fractional)
1 Zr 0.000 0.218 0.250
2 Zr 0.000 0.782 0.750
3 Zr 0.218 0.000 0.250
4 Zr 0.218 0.218 0.750
5 Zr 0.333 0.667 0.000
6 Zr 0.333 0.667 0.500
7 Zr 0.667 0.333 0.000
8 Zr 0.667 0.333 0.500
9 Zr 0.782 0.000 0.750
10 Zr 0.782 0.782 0.250
11 Sn 0.000 0.404 0.750
12 Sn 0.000 0.596 0.250
13 Sn 0.404 0.000 0.750
14 Sn 0.404 0.404 0.250
15 Sn 0.596 0.000 0.250
16 Sn 0.596 0.596 0.750
17 C 0.000 0.000 0.000
18 C 0.000 0.000 0.500

The following is a DFT calculation (PBE-GGA) of an optimized crystal structure of Ti3CoSn3.

Values from the calculation:
Space group ... No. 194
ΔE_f ... -79 meV per atom

Cell: 8.851 8.851 4.089 Å, 90.00 90.00 120.00°
Element x y z (fractional)
1 Ti 0.121 0.560 0.250
2 Ti 0.440 0.560 0.250
3 Ti 0.440 0.879 0.250
4 Ti 0.560 0.121 0.750
5 Ti 0.560 0.440 0.750
6 Ti 0.879 0.440 0.750
7 Co 0.333 0.667 0.750
8 Co 0.667 0.333 0.250
9 Sn 0.165 0.330 0.750
10 Sn 0.165 0.835 0.750
11 Sn 0.330 0.165 0.250
12 Sn 0.670 0.835 0.750
13 Sn 0.835 0.165 0.250
14 Sn 0.835 0.670 0.250

The following is a DFT calculation (PBE-GGA) of an optimized crystal structure of SrIn4Pd6.

Values from the calculation:
Space group ... No. 121
ΔE_f ... -372 meV per atom

Cell: 7.044 7.044 7.044 Å, 121.65 121.65 87.17°
Element x y z (fractional)
1 Sr 0.000 0.000 0.000
2 In 0.107 0.523 0.000
3 In 0.477 0.477 0.584
4 In 0.523 0.107 0.000
5 In 0.893 0.893 0.416
6 Pd 0.000 0.500 0.500
7 Pd 0.250 0.250 0.681
8 Pd 0.431 0.750 0.000
9 Pd 0.500 0.000 0.500
10 Pd 0.569 0.569 0.319
11 Pd 0.750 0.431 0.000

The following is a DFT calculation (PBE-GGA) of an optimized crystal structure of CeDyIr2.

Values from the calculation:
Space group ... No. 38
ΔE_f ... -810 meV per atom

Cell: 4.175 5.715 5.715 Å, 39.53 90.00 90.00°
Element x y z (fractional)
1 Ce 0.000 0.000 0.000
2 Dy 0.500 0.284 0.284
3 Ir 0.000 0.734 0.734
4 Ir 0.500 0.554 0.554

The following is a DFT calculation (PBE-GGA) of an optimized crystal structure of Pm6C2I3O.

Values from the calculation:
Space group ... No. 12
Uncorrected formation energy ... -1.0886 eV/atom

Cell: 6.642 6.642 7.936 Å, 98.02 98.02 120.00°
Element x y z (fractional)
1 Pm 0.108 0.443 0.829
2 Pm 0.222 0.222 0.171
3 Pm 0.443 0.108 0.829
4 Pm 0.557 0.892 0.171
5 Pm 0.778 0.778 0.829
6 Pm 0.892 0.557 0.171
7 C 0.166 0.834 0.000
8 C 0.834 0.166 0.000
9 I 0.000 0.000 0.500
10 I 0.332 0.668 0.500
11 I 0.668 0.332 0.500
12 O 0.500 0.500 0.000

The following is a DFT calculation (PBE-GGA) of an optimized crystal structure of ScFe2Cl8.

Values from the calculation:
Space group ... No. 12
Uncorrected formation energy ... -1.2195 eV/atom

Cell: 7.739 7.739 6.103 Å, 92.25 92.25 74.90°
Element x y z (fractional)
1 Sc 0.000 0.000 0.000
2 Fe 0.187 0.187 0.635
3 Fe 0.813 0.813 0.365
4 Cl 0.095 0.725 0.224
5 Cl 0.169 0.169 0.261
6 Cl 0.275 0.905 0.776
7 Cl 0.356 0.356 0.743
8 Cl 0.644 0.644 0.257
9 Cl 0.725 0.095 0.224
10 Cl 0.831 0.831 0.739
11 Cl 0.905 0.275 0.776

The following is a DFT calculation (PBE-GGA) of an optimized crystal structure of AlCrSN2.

Values from the calculation:
Excess energy over the best structure of this formula in the dataset ... 602.9 meV/atom
Space group ... No. 123
Uncorrected formation energy ... 0.8850 eV/atom

Cell: 3.638 3.638 4.832 Å, 90.00 90.00 90.00°
Element x y z (fractional)
1 Al 0.000 0.000 0.000
2 Cr 0.500 0.500 0.500
3 S 0.000 0.000 0.500
4 N 0.000 0.500 0.000
5 N 0.500 0.000 0.000

The following is a DFT calculation (PBE-GGA) of an optimized crystal structure of NaLa2HoS4.

Values from the calculation:
Space group ... No. 10
Uncorrected formation energy ... -1.9547 eV/atom

Cell: 7.001 4.063 7.073 Å, 90.00 109.40 90.00°
Element x y z (fractional)
1 Na 0.000 0.000 0.000
2 La 0.500 0.000 0.500
3 La 0.500 0.500 0.000
4 Ho 0.000 0.500 0.500
5 S 0.232 0.000 0.740
6 S 0.240 0.500 0.255
7 S 0.760 0.500 0.745
8 S 0.768 0.000 0.260

The following is a DFT calculation (PBE-GGA) of an optimized crystal structure of Ca2Ce2Tl3.

Values from the calculation:
Space group ... No. 65
ΔE_f ... -241 meV per atom

Cell: 14.115 14.115 3.772 Å, 90.00 90.00 164.32°
Element x y z (fractional)
1 Ca 0.071 0.929 0.000
2 Ca 0.929 0.071 0.000
3 Ce 0.214 0.786 0.000
4 Ce 0.786 0.214 0.000
5 Tl 0.359 0.641 0.500
6 Tl 0.500 0.500 0.500
7 Tl 0.641 0.359 0.500

The following is a DFT calculation (PBE-GGA) of an optimized crystal structure of Zr2BeAsP.

Values from the calculation:
Space group ... No. 123
ΔE_f ... 403 meV per atom

Cell: 4.868 4.868 4.710 Å, 90.00 90.00 90.00°
Element x y z (fractional)
1 Zr 0.000 0.500 0.000
2 Zr 0.500 0.000 0.000
3 Be 0.000 0.000 0.500
4 As 0.500 0.500 0.500
5 P 0.500 0.500 0.000

The following is a DFT calculation (PBE-GGA) of an optimized crystal structure of K3PuU3Se8.

Values from the calculation:
Space group ... No. 166
Uncorrected formation energy ... -1.3052 eV/atom

Cell: 9.180 9.180 9.180 Å, 54.44 54.44 54.44°
Element x y z (fractional)
1 K 0.000 0.500 0.500
2 K 0.500 0.000 0.500
3 K 0.500 0.500 0.000
4 Pu 0.500 0.500 0.500
5 U 0.000 0.000 0.500
6 U 0.000 0.500 0.000
7 U 0.500 0.000 0.000
8 Se 0.228 0.737 0.737
9 Se 0.236 0.236 0.236
10 Se 0.263 0.263 0.772
11 Se 0.263 0.772 0.263
12 Se 0.737 0.228 0.737
13 Se 0.737 0.737 0.228
14 Se 0.764 0.764 0.764
15 Se 0.772 0.263 0.263

The following is a DFT calculation (PBE-GGA) of an optimized crystal structure of CdNi.

Values from the calculation:
Space group ... No. 136
ΔE_f ... 376 meV per atom

Cell: 5.149 5.149 5.215 Å, 90.00 90.00 90.00°
Element x y z (fractional)
1 Cd 0.193 0.193 0.000
2 Cd 0.307 0.693 0.500
3 Cd 0.693 0.307 0.500
4 Cd 0.807 0.807 0.000
5 Ni 0.177 0.177 0.500
6 Ni 0.323 0.677 0.000
7 Ni 0.677 0.323 0.000
8 Ni 0.823 0.823 0.500

The following is a DFT calculation (PBE-GGA) of an optimized crystal structure of Nd4Ga3Ag.

Values from the calculation:
Excess energy over the best structure of this formula in the dataset ... 0.0 meV/atom
Space group ... No. 51
ΔE_f ... -476 meV per atom

Cell: 10.447 7.536 5.223 Å, 90.00 90.00 90.00°
Element x y z (fractional)
1 Nd 0.000 0.246 0.000
2 Nd 0.000 0.754 0.000
3 Nd 0.250 0.246 0.499
4 Nd 0.250 0.754 0.499
5 Nd 0.500 0.246 0.000
6 Nd 0.500 0.754 0.000
7 Nd 0.750 0.246 0.501
8 Nd 0.750 0.754 0.501
9 Ga 0.000 0.000 0.500
10 Ga 0.250 0.000 0.998
11 Ga 0.250 0.500 0.999
12 Ga 0.500 0.000 0.500
13 Ga 0.750 0.000 0.002
14 Ga 0.750 0.500 0.001
15 Ag 0.000 0.500 0.500
16 Ag 0.500 0.500 0.500

The following is a DFT calculation (PBE-GGA) of an optimized crystal structure of La2YCo.

Values from the calculation:
Excess energy over the best structure of this formula in the dataset ... 170.1 meV/atom
Space group ... No. 65
ΔE_f ... 67 meV per atom

Cell: 3.569 3.569 9.535 Å, 90.00 90.00 104.16°
Element x y z (fractional)
1 La 0.000 0.000 0.172
2 La 0.000 0.000 0.828
3 Y 0.500 0.500 0.500
4 Co 0.500 0.500 0.000

The following is a DFT calculation (PBE-GGA) of an optimized crystal structure of KTa2Se.

Values from the calculation:
Space group ... No. 35
Uncorrected formation energy ... 0.1861 eV/atom

Cell: 3.134 3.134 9.602 Å, 90.00 90.00 105.27°
Element x y z (fractional)
1 K 0.000 0.000 0.000
2 Ta 0.000 0.000 0.463
3 Ta 0.500 0.500 0.667
4 Se 0.500 0.500 0.268

The following is a DFT calculation (PBE-GGA) of an optimized crystal structure of La2ScPb2.

Values from the calculation:
Excess energy over the best structure of this formula in the dataset ... 0.0 meV/atom
Space group ... No. 127
ΔE_f ... -534 meV per atom

Cell: 8.091 8.091 4.820 Å, 90.00 90.00 90.00°
Element x y z (fractional)
1 La 0.170 0.330 0.000
2 La 0.330 0.830 0.000
3 La 0.670 0.170 0.000
4 La 0.830 0.670 0.000
5 Sc 0.000 0.000 0.500
6 Sc 0.500 0.500 0.500
7 Pb 0.138 0.638 0.500
8 Pb 0.362 0.138 0.500
9 Pb 0.638 0.862 0.500
10 Pb 0.862 0.362 0.500

The following is a DFT calculation (PBE-GGA) of an optimized crystal structure of KSiAu2.

Values from the calculation:
Space group ... No. 141
Uncorrected formation energy ... -0.1881 eV/atom

Cell: 8.846 8.846 8.846 Å, 143.51 143.51 52.56°
Element x y z (fractional)
1 K 0.375 0.625 0.750
2 K 0.625 0.375 0.250
3 Si 0.125 0.875 0.250
4 Si 0.875 0.125 0.750
5 Au 0.000 0.000 0.000
6 Au 0.000 0.000 0.500
7 Au 0.000 0.500 0.000
8 Au 0.500 0.000 0.500